ScGeAuSeS2, optimized geometry, DFT PBE; final energy = -5.13 eV/atom; mass density = 5.73 Mg/m³; calculated volume = 265.4 Å³/cell
1.0
1.908 -6.860 0.000
1.908 6.860 0.000
0.000 0.000 10.142
Sc Ge Au Se S
2 2 2 2 4
direct
0.000 0.000 0.000
0.000 0.000 0.500
0.310 0.690 0.750
0.690 0.310 0.250
0.342 0.658 0.250
0.658 0.342 0.750
0.059 0.941 0.250
0.941 0.059 0.750
0.371 0.629 0.020
0.371 0.629 0.480
0.629 0.371 0.520
0.629 0.371 0.980

ScGeTe2AuS, optimized geometry, DFT PBE; final energy = -4.60 eV/atom; mass density = 6.75 Mg/m³; calculated volume = 296.0 Å³/cell
1.0
2.040 -7.563 0.000
2.040 7.563 0.000
0.000 0.000 9.594
Sc Ge Te Au S
2 2 4 2 2
direct
0.000 0.000 0.000
0.000 0.000 0.500
0.217 0.783 0.750
0.783 0.217 0.250
0.349 0.651 0.039
0.349 0.651 0.461
0.651 0.349 0.539
0.651 0.349 0.961
0.476 0.524 0.250
0.524 0.476 0.750
0.069 0.931 0.250
0.931 0.069 0.750

SmGeAuSeS2, optimized geometry, DFT PBE; final energy = -4.88 eV/atom; mass density = 6.22 Mg/m³; calculated volume = 300.7 Å³/cell
1.0
2.066 -6.994 0.000
2.066 6.994 0.000
0.000 0.000 10.407
Sm Ge Au Se S
2 2 2 2 4
direct
0.000 0.000 0.000
0.000 0.000 0.500
0.295 0.705 0.750
0.705 0.295 0.250
0.350 0.650 0.250
0.650 0.350 0.750
0.087 0.913 0.250
0.913 0.087 0.750
0.364 0.636 0.025
0.364 0.636 0.475
0.636 0.364 0.525
0.636 0.364 0.975

SrGeAu2Se2S2, optimized geometry, DFT PBE; final energy = -4.17 eV/atom; mass density = 6.03 Mg/m³; calculated volume = 213.7 Å³/cell
1.0
5.308 -3.859 0.000
5.308 3.859 0.000
-3.964 0.000 5.216
Sr Ge Au Se S
1 1 2 2 2
direct
0.000 0.000 0.000
0.484 0.516 0.000
0.302 0.698 0.500
0.693 0.307 0.500
0.502 0.157 0.028
0.843 0.498 0.972
0.159 0.537 0.651
0.463 0.841 0.349

TlGeAuSeS2, optimized geometry, DFT PBE; final energy = -3.81 eV/atom; mass density = 7.16 Mg/m³; calculated volume = 286.2 Å³/cell
1.0
1.834 -7.581 0.000
1.834 7.581 0.000
0.000 0.000 10.293
Tl Ge Au Se S
2 2 2 2 4
direct
0.207 0.793 0.750
0.793 0.207 0.250
0.500 0.500 0.000
0.500 0.500 0.500
0.129 0.871 0.250
0.871 0.129 0.750
0.456 0.544 0.250
0.544 0.456 0.750
0.115 0.885 0.024
0.115 0.885 0.476
0.885 0.115 0.524
0.885 0.115 0.976

TlGeAuSe2S, optimized geometry, DFT PBE; final energy = -3.67 eV/atom; mass density = 7.88 Mg/m³; calculated volume = 279.8 Å³/cell
1.0
1.918 -6.738 0.000
1.918 6.738 0.000
0.000 0.000 10.826
Tl Ge Au Se S
2 2 2 4 2
direct
0.197 0.803 0.750
0.803 0.197 0.250
0.500 0.500 0.000
0.500 0.500 0.500
0.127 0.873 0.250
0.873 0.127 0.750
0.137 0.863 0.021
0.137 0.863 0.479
0.863 0.137 0.521
0.863 0.137 0.979
0.475 0.525 0.250
0.525 0.475 0.750

TmGeAuSe2S, optimized geometry, DFT PBE; final energy = -4.62 eV/atom; mass density = 7.89 Mg/m³; calculated volume = 264.7 Å³/cell
1.0
1.972 -6.632 0.000
1.972 6.632 0.000
0.000 0.000 10.121
Tm Ge Au Se S
2 2 2 4 2
direct
0.000 0.000 0.000
0.000 0.000 0.500
0.255 0.745 0.750
0.745 0.255 0.250
0.474 0.526 0.250
0.526 0.474 0.750
0.348 0.652 0.057
0.348 0.652 0.443
0.652 0.348 0.557
0.652 0.348 0.943
0.101 0.899 0.250
0.899 0.101 0.750

YGeAuSe2S, optimized geometry, DFT PBE; final energy = -4.97 eV/atom; mass density = 6.77 Mg/m³; calculated volume = 269.2 Å³/cell
1.0
1.976 -6.614 0.000
1.976 6.614 0.000
0.000 0.000 10.297
Y Ge Au Se S
2 2 2 4 2
direct
0.000 0.000 0.000
0.000 0.000 0.500
0.250 0.750 0.750
0.750 0.250 0.250
0.474 0.526 0.250
0.526 0.474 0.750
0.346 0.654 0.061
0.346 0.654 0.439
0.654 0.346 0.561
0.654 0.346 0.939
0.102 0.898 0.250
0.898 0.102 0.750

SmGeTeAuS2, optimized geometry, DFT PBE; final energy = -4.70 eV/atom; mass density = 6.53 Mg/m³; calculated volume = 311.0 Å³/cell
1.0
2.028 -6.683 0.000
2.028 6.683 0.000
0.000 0.000 11.476
Sm Ge Te Au S
2 2 2 2 4
direct
0.000 0.000 0.000
0.000 0.000 0.500
0.236 0.764 0.750
0.764 0.236 0.250
0.114 0.886 0.250
0.886 0.114 0.750
0.429 0.571 0.250
0.571 0.429 0.750
0.365 0.635 0.056
0.365 0.635 0.444
0.635 0.365 0.556
0.635 0.365 0.944

TlGeTe2AuS, optimized geometry, DFT PBE; final energy = -3.49 eV/atom; mass density = 7.99 Mg/m³; calculated volume = 316.5 Å³/cell
1.0
2.167 -6.353 0.000
2.167 6.353 0.000
0.000 0.000 11.492
Tl Ge Te Au S
2 2 4 2 2
direct
0.221 0.779 0.750
0.779 0.221 0.250
0.500 0.500 0.000
0.500 0.500 0.500
0.152 0.848 0.024
0.152 0.848 0.476
0.848 0.152 0.524
0.848 0.152 0.976
0.082 0.918 0.250
0.918 0.082 0.750
0.479 0.521 0.250
0.521 0.479 0.750

YGeTeAuS2, optimized geometry, DFT PBE; final energy = -5.00 eV/atom; mass density = 5.97 Mg/m³; calculated volume = 306.1 Å³/cell
1.0
2.003 -6.752 0.000
2.003 6.752 0.000
0.000 0.000 11.318
Y Ge Te Au S
2 2 2 2 4
direct
0.000 0.000 0.000
0.000 0.000 0.500
0.240 0.760 0.750
0.760 0.240 0.250
0.112 0.888 0.250
0.888 0.112 0.750
0.423 0.577 0.250
0.577 0.423 0.750
0.369 0.631 0.051
0.369 0.631 0.449
0.631 0.369 0.551
0.631 0.369 0.949

YGeAuS3, optimized geometry, DFT PBE; final energy = -5.37 eV/atom; mass density = 5.50 Mg/m³; calculated volume = 549.5 Å³/cell
1.0
11.342 0.000 0.000
0.000 3.974 0.000
0.000 0.000 12.191
Y Ge Au S
4 4 4 12
direct
0.007 0.250 0.164
0.493 0.750 0.664
0.507 0.250 0.336
0.993 0.750 0.836
0.178 0.250 0.583
0.322 0.750 0.083
0.678 0.250 0.917
0.822 0.750 0.417
0.194 0.750 0.406
0.306 0.250 0.906
0.694 0.750 0.094
0.806 0.250 0.594
0.010 0.750 0.321
0.105 0.250 0.952
0.246 0.750 0.700
0.254 0.250 0.200
0.395 0.750 0.452
0.490 0.250 0.821
0.510 0.750 0.179
0.605 0.250 0.548
0.746 0.750 0.800
0.754 0.250 0.300
0.895 0.750 0.048
0.990 0.250 0.679